# PBE ScGa6Ni, optimized geometry
# Energy relative to the elements   -224 meV/atom
# VASP energy   -4.008 eV/atom
data_ScGa6Ni
_cell_length_a 6.563
_cell_length_b 9.679
_cell_length_c 4.273
_cell_angle_alpha 90.00
_cell_angle_beta 90.00
_cell_angle_gamma 90.00
_space_group_name_H-M_alt 'C m m m'
_space_group_IT_number 65
_space_group_name_Hall '-C 2 2'
loop_
_atom_site_label
_atom_site_type_symbol
_atom_site_fract_x
_atom_site_fract_y
_atom_site_fract_z
Sc1 Sc 0.000 0.000 0.000
Ga1 Ga 0.000 0.206 0.500
Ga2 Ga 0.196 0.500 0.500
Ga3 Ga 0.250 0.250 0.000
Ni1 Ni 0.000 0.500 0.000

# PBE ScGaNi5, optimized geometry
# Energy relative to the elements   -380 meV/atom
# VASP energy   -5.846 eV/atom
data_ScGaNi5
_cell_length_a 7.734
_cell_length_b 4.716
_cell_length_c 9.860
_cell_angle_alpha 90.00
_cell_angle_beta 90.00
_cell_angle_gamma 90.00
_space_group_name_H-M_alt 'P n m a'
_space_group_IT_number 62
loop_
_space_group_symop_operation_xyz
'x,y,z'
'-x,-y,-z'
'-x+1/2,-y,z+1/2'
'x+1/2,y,-z+1/2'
'x+1/2,-y+1/2,-z+1/2'
'-x+1/2,y+1/2,z+1/2'
'-x,y+1/2,-z'
'x,-y+1/2,z'
loop_
_atom_site_label
_atom_site_type_symbol
_atom_site_fract_x
_atom_site_fract_y
_atom_site_fract_z
Sc1 Sc 0.249 0.250 0.060
Ga1 Ga 0.141 0.750 0.857
Ni1 Ni 0.050 0.750 0.089
Ni2 Ni 0.065 0.006 0.306
Ni3 Ni 0.097 0.250 0.518
Ni4 Ni 0.189 0.250 0.750

# PBE Sc2GaNi3, optimized geometry
# Energy relative to the elements   -601 meV/atom
# VASP energy   -6.106 eV/atom
data_Sc2GaNi3
_cell_length_a 5.0404
_cell_length_b 5.0404
_cell_length_c 7.9309
_cell_angle_alpha 90.00
_cell_angle_beta 90.00
_cell_angle_gamma 120.00
_space_group_name_H-M_alt 'P 63/m m c'
_space_group_IT_number 194
_space_group_name_Hall '-P 6c 2c'
loop_
_atom_site_label
_atom_site_type_symbol
_atom_site_fract_x
_atom_site_fract_y
_atom_site_fract_z
Sc1 Sc 0.3333 0.6667 0.0588
Ga1 Ga 0.0000 0.0000 0.0000
Ni1 Ni 0.1709 0.3418 0.7500

# PBE ScGa2Ni, optimized geometry
# Energy relative to the elements   -450 meV/atom
# VASP energy   -4.992 eV/atom
data_ScGa2Ni
_cell_length_a 3.903
_cell_length_b 3.903
_cell_length_c 4.126
_cell_angle_alpha 90.00
_cell_angle_beta 90.00
_cell_angle_gamma 90.00
_space_group_name_H-M_alt 'P 4/m m m'
_space_group_IT_number 123
_space_group_name_Hall '-P 4 2'
loop_
_atom_site_label
_atom_site_type_symbol
_atom_site_fract_x
_atom_site_fract_y
_atom_site_fract_z
Sc1 Sc 0.000 0.000 0.000
Ga1 Ga 0.000 0.500 0.500
Ni1 Ni 0.500 0.500 0.000